Record 1
Entry from Alexandria via LeMat-Bulk: crystalline CaZrReAg2 at its relaxed geometry (PBE-GGA).

```
CaZrReAg2
1.0
4.719 0.000 0.000
0.000 5.208 0.000
0.000 0.000 4.719
Re Ca Zr Ag
1 1 1 2
Direct
0.500 0.500 0.500
0.000 0.000 0.000
0.000 0.500 0.000
0.000 0.000 0.500
0.500 0.000 0.000
```

Values from the calculation:
Formation enthalpy at 0 K (eV/atom): 2.045
M_tot (μB/cell): 0.0



Record 2
Entry from Alexandria via LeMat-Bulk: crystalline Ca2AgRh at its relaxed geometry (PBE-GGA).

```
Ca2AgRh
1.0
2.615 -0.586 -5.717
-4.091 -2.111 4.321
-4.732 3.771 1.804
Ca Ag Rh
2 1 1
Direct
0.000 0.228 0.228
0.000 0.772 0.772
0.000 0.500 0.500
0.000 0.000 0.000
```

Values from the calculation:
Formation enthalpy at 0 K (eV/atom): 0.493
M_tot (μB/cell): 0.0



Record 3
Entry from Alexandria via LeMat-Bulk: crystalline Ca2AgRh at its relaxed geometry (PBE-GGA).

```
Ca2AgRh
1.0
-3.960 2.516 -3.468
-1.590 1.184 -5.487
-3.217 -3.684 -1.344
Ca Rh Ag
2 1 1
Direct
0.985 0.985 0.042
0.782 0.782 0.683
0.517 0.517 0.533
0.216 0.216 0.242
```

Values from the calculation:
Formation enthalpy at 0 K (eV/atom): -0.234
M_tot (μB/cell): 0.0



Record 4
Entry from Alexandria via LeMat-Bulk: crystalline Ca5Ag2Rh2 at its relaxed geometry (PBE-GGA).

```
Ca5Ag2Rh2
1.0
7.265 0.000 2.637
0.000 7.691 0.000
0.960 0.000 8.681
Ca Ag Rh
10 4 4
Direct
0.000 0.000 0.000
0.500 0.500 0.000
0.452 0.171 0.748
0.799 0.829 0.748
0.299 0.671 0.748
0.952 0.329 0.748
0.548 0.829 0.252
0.201 0.171 0.252
0.701 0.329 0.252
0.048 0.671 0.252
0.212 0.000 0.575
0.712 0.500 0.575
0.788 0.000 0.425
0.288 0.500 0.425
0.123 0.378 0.000
0.877 0.622 0.000
0.377 0.878 0.000
0.623 0.122 0.000
```

Values from the calculation:
Formation enthalpy at 0 K (eV/atom): -0.319
M_tot (μB/cell): 0.0



Record 5
Entry from Alexandria via LeMat-Bulk: crystalline CaAgRh2 at its relaxed geometry (PBE-GGA).

```
CaAgRh2
1.0
-0.454 -2.833 -0.658
0.757 0.528 -2.795
7.775 -1.662 1.792
Ca Rh Ag
1 2 1
Direct
0.500 0.500 0.750
0.000 0.000 0.014
0.000 0.000 0.486
0.500 0.500 0.250
```

Values from the calculation:
Formation enthalpy at 0 K (eV/atom): 0.158
M_tot (μB/cell): 0.6



Record 6
Entry from Alexandria via LeMat-Bulk: crystalline Ca2AgRh at its relaxed geometry (PBE-GGA).

```
Ca2AgRh
1.0
-7.109 3.226 -4.094
-8.406 0.130 -2.652
-8.209 3.154 -0.610
Ca Rh Ag
2 1 1
Direct
0.991 0.991 0.991
0.509 0.509 0.509
0.250 0.250 0.250
0.750 0.750 0.750
```

Values from the calculation:
Formation enthalpy at 0 K (eV/atom): -0.102
M_tot (μB/cell): 0.0



Record 7
Entry from Alexandria via LeMat-Bulk: crystalline Ca5Ag2Rh at its relaxed geometry (PBE-GGA).

```
Ca5Ag2Rh
1.0
4.639 0.000 0.000
0.000 7.806 0.000
0.000 0.000 12.545
Ca Ag Rh
10 4 2
Direct
0.000 0.000 0.500
0.000 0.500 0.000
0.000 0.852 0.201
0.000 0.148 0.799
0.000 0.648 0.701
0.000 0.352 0.299
0.500 0.676 0.421
0.500 0.324 0.579
0.500 0.824 0.921
0.500 0.176 0.079
0.500 0.566 0.166
0.500 0.434 0.834
0.500 0.934 0.666
0.500 0.066 0.334
0.000 0.500 0.500
0.000 0.000 0.000
```

Values from the calculation:
Formation enthalpy at 0 K (eV/atom): -0.304
M_tot (μB/cell): 0.0



Record 8
Entry from Alexandria via LeMat-Bulk: crystalline Ca8AgRh2 at its relaxed geometry (PBE-GGA).

```
Ca8AgRh2
1.0
5.832 0.150 -0.919
-1.839 7.171 -2.927
0.062 -0.011 7.960
Ca Ag Rh
8 1 2
Direct
0.574 0.338 0.068
0.574 0.068 0.338
0.198 0.383 0.383
0.989 0.238 0.765
0.989 0.765 0.238
0.789 0.627 0.627
0.399 0.938 0.667
0.399 0.667 0.938
0.105 0.001 0.001
0.492 0.690 0.319
0.492 0.319 0.690
```

Values from the calculation:
Formation enthalpy at 0 K (eV/atom): -0.258
M_tot (μB/cell): 0.0



Among the records above, which one has the highest formation enthalpy at 0 K? CaZrReAg2



Repeat the eighth record exactly.
Entry from Alexandria via LeMat-Bulk: crystalline Ca8AgRh2 at its relaxed geometry (PBE-GGA).

```
Ca8AgRh2
1.0
5.832 0.150 -0.919
-1.839 7.171 -2.927
0.062 -0.011 7.960
Ca Ag Rh
8 1 2
Direct
0.574 0.338 0.068
0.574 0.068 0.338
0.198 0.383 0.383
0.989 0.238 0.765
0.989 0.765 0.238
0.789 0.627 0.627
0.399 0.938 0.667
0.399 0.667 0.938
0.105 0.001 0.001
0.492 0.690 0.319
0.492 0.319 0.690
```

Values from the calculation:
Formation enthalpy at 0 K (eV/atom): -0.258
M_tot (μB/cell): 0.0



Which of these has the highest formation enthalpy at 0 K? CaZrReAg2